# 1
DFT (PBE-GGA) results for a relaxed CuHgRh2 crystal.

Results
M_tot	1.173	μB per cell
VASP energy	-4.5394	eV/atom
V	15.5	Å³/atom

Unit cell a=3.9593 b=3.9593 c=3.9509 alpha=90.00 beta=90.00 gamma=90.00
Closest atoms and distances in Å follow each position.
Fractional positions:
Cu 0.5000 0.0000 0.5000  8 Rh 2.80, 4 Hg 2.80
Hg 0.0000 0.5000 0.5000  8 Rh 2.80, 4 Cu 2.80
Rh 0.0000 0.0000 0.0000  4 Hg 2.80, 4 Cu 2.80, 4 Rh 2.80
Rh 0.5000 0.5000 0.0000  4 Hg 2.80, 4 Cu 2.80, 4 Rh 2.80

# 2
DFT (PBE-GGA) results for a relaxed La2RhPb crystal.

Results
M_tot	0.000	μB per cell
VASP energy	-5.6496	eV/atom
V	26.8	Å³/atom

Unit cell a=6.1461 b=6.1461 c=6.1461 alpha=136.89 beta=136.89 gamma=62.60
Closest atoms and distances in Å follow each position.
Fractional positions:
La 0.0000 0.0000 0.0000  4 Pb 3.19, 4 La 3.46, 4 Rh 3.46
La 0.2500 0.7500 0.5000  4 Rh 3.19, 4 Pb 3.46, 4 La 3.46
Rh 0.7500 0.2500 0.5000  8 La 3.19-3.46, 4 Pb 3.46
Pb 0.5000 0.5000 0.0000  8 La 3.19-3.46, 4 Rh 3.46

# 3
DFT (PBE-GGA) results for a relaxed SrPa2IO8 crystal.

Results
uncorrected formation energy	-2.552	eV/atom
M_tot	0.723	μB per cell
VASP energy	-7.7091	eV/atom
V	14.0	Å³/atom

Unit cell a=4.0974 b=5.5990 c=7.3453 alpha=90.00 beta=90.00 gamma=89.94
Closest atoms and distances in Å follow each position.
Fractional positions:
Sr 0.0000 0.0000 0.5000  8 O 2.51-2.57
Pa 0.5000 0.5000 0.7525  8 O 2.20-2.45
Pa 0.5000 0.5000 0.2475  8 O 2.20-2.45
I 0.0000 0.0000 0.0000  4 O 2.20
O 0.0007 0.7378 0.2222  1 I 2.20, 2 Pa 2.45
O 0.5009 0.7209 0.0000  2 Pa 2.20
O 0.9993 0.2622 0.2222  1 I 2.20, 2 Pa 2.45
O 0.9993 0.2622 0.7778  1 I 2.20, 2 Pa 2.45
O 0.4991 0.2791 0.0000  2 Pa 2.20
O 0.0007 0.7378 0.7778  1 I 2.20, 2 Pa 2.45
O 0.5007 0.7230 0.5000  2 Pa 2.24, 1 O 2.50
O 0.4993 0.2770 0.5000  2 Pa 2.24, 1 O 2.50

# 4
DFT (PBE-GGA) results for a relaxed PmCdAu crystal.

Results
M_tot	0.000	μB per cell
VASP energy	-3.5549	eV/atom
energy relative to the lowest polymorph listed for this composition	0.0823	eV/atom
V	24.1	Å³/atom

Unit cell a=3.5152 b=4.8702 c=4.8702 alpha=120.00 beta=90.00 gamma=90.00
Closest atoms and distances in Å follow each position.
Fractional positions:
Cd 0.1667 0.3333 0.6667  3 Au 2.81
Au 0.1668 0.0000 0.0000  3 Cd 2.81
Pm 0.6665 0.6667 0.3333  6 Au 3.32, 6 Cd 3.32, 2 Pm 3.52

# 5
DFT (PBE-GGA) results for a relaxed TaAl2CoS crystal.

Results
uncorrected formation energy	0.649	eV/atom
M_tot	1.779	μB per cell
VASP energy	-5.4653	eV/atom
V	17.1	Å³/atom

Unit cell a=4.5923 b=4.0653 c=4.5923 alpha=90.00 beta=90.00 gamma=90.00
Closest atoms and distances in Å follow each position.
Fractional positions:
S 0.0000 0.5000 0.0000  2 Co 2.03
Co 0.0000 0.0000 0.0000  2 S 2.03
Al 0.0000 0.0000 0.5000  2 Co 2.30
Al 0.5000 0.0000 0.0000  2 Co 2.30
Ta 0.5000 0.5000 0.5000  8 Al 3.07, 4 S 3.25

# 6
DFT (PBE-GGA) results for a relaxed MgRhCl2 crystal.

Results
uncorrected formation energy	-0.183	eV/atom
M_tot	1.471	μB per cell
VASP energy	-3.3429	eV/atom
energy relative to the lowest polymorph listed for this composition	0.4758	eV/atom
V	23.1	Å³/atom

Unit cell a=8.0730 b=8.0730 c=8.0730 alpha=26.54 beta=26.54 gamma=26.54
Closest atoms and distances in Å follow each position.
Fractional positions:
Mg 0.0000 0.0000 0.0000  2 Cl 2.49
Rh 0.5000 0.5000 0.5000  6 Cl 2.56
Cl 0.8936 0.8936 0.8936  1 Mg 2.49, 3 Rh 2.56
Cl 0.1064 0.1064 0.1064  1 Mg 2.49, 3 Rh 2.56